# 1
SiNi3O | the Alexandria database | PBE with a Hubbard U | optimized geometry; D(E_F) = 1.744 states/eV/f.u.; DFT total energy = -2.021 eV/atom; space-group type = Pm-3m, No. 221
1.0
-1.288 -2.066 3.325
3.797 0.191 1.590
-0.951 3.560 1.844
O Ni Si
1 3 1
direct
0.500 0.500 0.500
0.000 0.500 0.000
0.500 0.000 0.000
0.000 0.000 0.500
0.000 0.000 0.000



# 2
SiNi3O | the Alexandria database | PBE with a Hubbard U | optimized geometry; D(E_F) = 1.490 states/eV/f.u.; DFT total energy = -3.423 eV/atom; space-group type = Pm-3m, No. 221
1.0
3.927 0.000 0.000
0.000 3.927 0.000
0.000 0.000 3.927
Si Ni O
1 3 1
direct
0.500 0.500 0.500
0.000 0.000 0.500
0.500 0.000 0.000
0.000 0.500 0.000
0.000 0.000 0.000



# 3
SiNi6O8 | the Alexandria database | PBE with a Hubbard U | optimized geometry; D(E_F) = 0.000 states/eV/f.u.; DFT total energy = -5.229 eV/atom; space-group type = P-31m, No. 162
1.0
6.396 0.000 0.000
0.000 4.654 -2.687
0.000 0.000 5.374
O Ni Si
8 6 1
direct
0.000 0.667 0.333
0.330 0.728 0.000
0.000 0.333 0.667
0.670 0.272 0.000
0.330 0.000 0.728
0.670 0.000 0.272
0.670 0.728 0.728
0.330 0.272 0.272
0.797 0.000 0.619
0.797 0.381 0.381
0.203 0.381 0.000
0.203 0.000 0.381
0.203 0.619 0.619
0.797 0.619 0.000
0.500 0.000 0.000



# 4
SiNi2SnO6 | the Alexandria database | PBE with a Hubbard U | optimized geometry; DFT total energy = -5.725 eV/atom; space-group type = P4mm, No. 99
1.0
-3.641 1.793 -2.341
-2.004 -4.645 -0.441
-2.490 0.659 4.377
O Ni Si Sn
6 2 1 1
direct
0.737 0.233 0.233
0.737 0.233 0.767
0.737 0.767 0.233
0.160 0.500 0.500
0.258 0.000 0.000
0.737 0.767 0.767
0.955 0.000 0.500
0.955 0.500 0.000
0.601 0.000 0.000
0.569 0.500 0.500



# 5
SrSiNiO4 | the Alexandria database | PBE with a Hubbard U | optimized geometry; D(E_F) = 4.144 states/eV/f.u.; DFT total energy = -6.064 eV/atom; space-group type = F-43m, No. 216
1.0
5.667 0.000 0.000
2.833 4.907 0.000
2.833 1.636 4.627
O Ni Sr Si
4 1 1 1
direct
0.900 0.367 0.367
0.367 0.367 0.367
0.367 0.900 0.367
0.367 0.367 0.900
0.500 0.500 0.500
0.750 0.750 0.750
0.250 0.250 0.250



# 6
SiNiTeO2 | the Alexandria database | PBE with a Hubbard U | optimized geometry; D(E_F) = 1.562 states/eV/f.u.; DFT total energy = -4.952 eV/atom; space-group type = P4/mmm, No. 123
1.0
-1.268 -0.216 -3.224
-4.553 -3.589 2.030
-1.955 2.809 0.581
Te Ni O Si
1 1 2 1
direct
0.000 0.500 0.000
0.500 0.500 0.500
0.000 0.000 0.500
0.500 0.000 0.000
0.000 0.000 0.000



# 7
TiSiNi2O | the Alexandria database | PBE with a Hubbard U | optimized geometry; D(E_F) = 0.822 states/eV/f.u.; DFT total energy = -4.951 eV/atom; space-group type = P4/mmm, No. 123
1.0
3.763 0.000 0.000
0.000 4.093 0.000
0.000 0.000 3.763
Ti Ni O Si
1 2 1 1
direct
0.000 0.500 0.000
0.000 0.000 0.500
0.500 0.000 0.000
0.000 0.000 0.000
0.500 0.500 0.500



# 8
TiSiNi2O6 | the Alexandria database | PBE with a Hubbard U | optimized geometry; D(E_F) = 0.000 states/eV/f.u.; DFT total energy = -6.633 eV/atom; space-group type = P4mm, No. 99
1.0
-3.083 -0.088 3.245
-0.153 -5.049 -0.283
3.665 -0.306 3.474
O Ni Ti Si
6 2 1 1
direct
0.211 0.500 0.500
0.727 0.764 0.764
0.239 0.000 0.000
0.727 0.236 0.236
0.727 0.236 0.764
0.727 0.764 0.236
0.948 0.000 0.500
0.948 0.500 0.000
0.592 0.500 0.500
0.600 0.000 0.000



# 9
Tl2SiNiO4 | the Alexandria database | PBE with a Hubbard U | optimized geometry; D(E_F) = 0.000 states/eV/f.u.; DFT total energy = -5.475 eV/atom; space-group type = Fddd, No. 70
1.0
5.112 -0.001 0.000
2.555 5.646 0.000
2.555 -0.001 10.116
Tl O Ni Si
4 8 2 2
direct
0.177 0.000 0.646
0.927 0.500 0.146
0.573 0.500 0.854
0.823 0.000 0.354
0.916 0.670 0.584
0.834 0.830 0.916
0.580 0.170 0.084
0.414 0.670 0.416
0.336 0.830 0.084
0.250 0.170 0.916
0.170 0.330 0.416
0.500 0.330 0.584
0.750 0.500 0.500
0.000 0.000 0.000
0.500 0.000 0.000
0.250 0.500 0.500



# 10
Y2SiNiO6 | the Alexandria database | PBE with a Hubbard U | optimized geometry; D(E_F) = 0.000 states/eV/f.u.; DFT total energy = -7.878 eV/atom; space-group type = P2_1/c, No. 14
1.0
-1.412 5.022 0.317
-4.722 -1.476 2.341
3.175 0.512 6.727
Ni O Y Si
2 12 4 2
direct
0.500 0.000 0.000
0.000 0.500 0.500
0.596 0.030 0.268
0.904 0.530 0.232
0.218 0.183 0.454
0.320 0.720 0.447
0.282 0.683 0.046
0.718 0.317 0.954
0.404 0.970 0.732
0.096 0.470 0.768
0.680 0.280 0.553
0.782 0.817 0.546
0.180 0.220 0.053
0.820 0.780 0.947
0.484 0.436 0.249
0.984 0.064 0.749
0.016 0.936 0.251
0.516 0.564 0.751
0.000 0.500 0.000
0.500 0.000 0.500



# 11
ZnSiNiO4 | the Alexandria database | PBE with a Hubbard U | optimized geometry; D(E_F) = 0.000 states/eV/f.u.; DFT total energy = -6.049 eV/atom; space-group type = Cmcm, No. 63
1.0
5.126 -0.019 0.000
-2.076 4.687 0.000
0.000 0.000 6.131
O Ni Si Zn
8 2 2 2
direct
0.792 0.741 0.250
0.262 0.738 0.465
0.259 0.208 0.250
0.738 0.262 0.965
0.741 0.792 0.750
0.738 0.262 0.535
0.208 0.259 0.750
0.262 0.738 0.035
0.500 0.500 0.500
0.500 0.500 0.000
0.851 0.149 0.750
0.149 0.851 0.250
0.833 0.167 0.250
0.167 0.833 0.750



# 12
ZnSi4NiO10 | the Alexandria database | PBE with a Hubbard U | optimized geometry; D(E_F) = 0.000 states/eV/f.u.; DFT total energy = -6.990 eV/atom; space-group type = P4/ncc, No. 130
1.0
7.238 0.000 0.000
0.000 7.238 0.000
0.000 0.000 14.975
Si O Ni Zn
16 40 4 4
direct
0.262 0.339 0.145
0.339 0.262 0.355
0.661 0.262 0.855
0.762 0.839 0.855
0.839 0.762 0.645
0.839 0.238 0.145
0.262 0.661 0.645
0.339 0.738 0.855
0.661 0.738 0.355
0.161 0.238 0.645
0.738 0.661 0.145
0.238 0.839 0.355
0.161 0.762 0.145
0.738 0.339 0.645
0.238 0.161 0.855
0.762 0.161 0.355
0.583 0.736 0.075
0.190 0.810 0.250
0.417 0.264 0.075
0.917 0.236 0.425
0.810 0.190 0.250
0.310 0.690 0.750
0.440 0.749 0.375
0.751 0.060 0.875
0.560 0.749 0.875
0.251 0.440 0.625
0.917 0.764 0.925
0.749 0.440 0.125
0.060 0.751 0.625
0.940 0.751 0.125
0.751 0.940 0.375
0.749 0.560 0.625
0.060 0.249 0.125
0.736 0.417 0.925
0.251 0.560 0.125
0.417 0.736 0.575
0.940 0.249 0.625
0.736 0.583 0.425
0.264 0.583 0.925
0.264 0.417 0.425
0.690 0.690 0.250
0.690 0.310 0.750
0.083 0.236 0.925
0.440 0.251 0.875
0.190 0.190 0.750
0.764 0.917 0.575
0.764 0.083 0.075
0.249 0.940 0.875
0.249 0.060 0.375
0.083 0.764 0.425
0.236 0.083 0.575
0.560 0.251 0.375
0.310 0.310 0.250
0.810 0.810 0.750
0.583 0.264 0.575
0.236 0.917 0.075
0.000 0.500 0.929
0.500 0.000 0.571
0.500 0.000 0.071
0.000 0.500 0.429
0.000 0.000 0.500
0.500 0.500 0.500
0.500 0.500 0.000
0.000 0.000 0.000